Record 1
A geometry-optimized InSiPt structure, computed with PBE.

Output
**M_tot**: 0.00 Bohr magnetons per cell
**Energy**: -4.95 eV per atom

Unit cell a=4.1307 b=4.1307 c=3.8866 alpha=90.00 beta=90.00 gamma=120.00
Space group P-6m2 (No. 187)
Symmetry-distinct sites (fractional):
In 0.0000 0.0000 0.0000
Si 0.3333 0.6667 0.5000
Pt 0.6667 0.3333 0.5000

---

Record 2
A geometry-optimized Ca2MnOs structure, computed with PBE.

Output
**M_tot**: 12.14 Bohr magnetons per cell
**Energy relative to the lowest polymorph listed for this composition**: 449.9 meV per atom
**Formation energy**: 0.7880 eV per atom

Unit cell a=3.2217 b=3.2217 c=29.7197 alpha=90.00 beta=90.00 gamma=120.00
Space group R-3m (No. 166, hexagonal axes)
Symmetry-distinct sites (fractional):
Ca 0.0000 0.0000 0.2403
Mn 0.0000 0.0000 0.0000
Os 0.0000 0.0000 0.5000

---

Record 3
A geometry-optimized In2IrBr structure, computed with PBE.

Output
**M_tot**: 0.00 Bohr magnetons per cell
**Energy relative to the lowest polymorph listed for this composition**: 406.1 meV per atom

Unit cell a=3.3467 b=3.3467 c=8.1992 alpha=90.00 beta=90.00 gamma=90.00
Space group P4mm (No. 99)
Symmetry-distinct sites (fractional):
In 0.0000 0.0000 0.0000
In 0.5000 0.5000 0.3108
Ir 0.0000 0.0000 0.4749
Br 0.5000 0.5000 0.7206

---

Number 1: volume 57.4 Å³/cell. Number 2: volume 267.1 Å³/cell. Number 3: volume 91.8 Å³/cell.